1.
Density functional theory data (PBE) for an optimized crystal structure of SrLi3Cd3.

Properties
Calculated density (g/cm³): 3.8
VASP energy (eV per cell): -19.775

a = 7.300 Å, b = 7.300 Å, c = 7.300 Å
α = 90.00°, β = 90.00°, γ = 90.00°
Atoms (fractional coordinates):
Cd1 0.500 0.250 0.000
Li1 0.500 0.000 0.250
Li2 0.750 0.500 0.000
Li3 0.250 0.500 0.000
Li4 0.000 0.250 0.500
Cd2 0.250 0.000 0.500
Li5 0.000 0.750 0.500
Cd3 0.000 0.500 0.250
Sr1 0.000 0.000 0.000
Li6 0.500 0.000 0.750
Cd4 0.750 0.000 0.500
Cd5 0.500 0.750 0.000
Sr2 0.500 0.500 0.500
Cd6 0.000 0.500 0.750


2.
Density functional theory data (PBE) for an optimized crystal structure of SrLi2Cd4.

Properties
Calculated density (g/cm³): 5.3
VASP energy (eV per cell): -10.498

a = 4.906 Å, b = 3.554 Å, c = 10.407 Å
α = 99.83°, β = 103.63°, γ = 90.00°
Atoms (fractional coordinates):
Cd1 0.079 0.579 0.159
Cd2 0.921 0.421 0.841
Cd3 0.661 0.661 0.321
Li1 0.197 0.197 0.395
Sr1 0.500 0.000 0.000
Li2 0.803 0.803 0.605
Cd4 0.339 0.339 0.679


3.
Density functional theory data (PBE) for an optimized crystal structure of SrLi6Cd6.

Properties
Calculated density (g/cm³): 4.8
VASP energy (eV per cell): -21.334

a = 5.456 Å, b = 7.619 Å, c = 7.619 Å
α = 82.50°, β = 69.02°, γ = 69.02°
Atoms (fractional coordinates):
Cd1 0.354 0.646 0.646
Sr1 0.000 0.000 0.000
Cd2 0.289 0.211 0.211
Li1 0.500 0.774 0.226
Li2 0.500 0.500 0.000
Cd3 0.711 0.789 0.789
Li3 0.500 0.226 0.774
Li4 0.000 0.000 0.500
Cd4 0.646 0.354 0.354
Cd5 0.000 0.346 0.654
Cd6 0.000 0.654 0.346
Li5 0.000 0.500 0.000
Li6 0.500 0.000 0.500


4.
Density functional theory data (PBE) for an optimized crystal structure of Sr3Li2Cd2.

Properties
Calculated density (g/cm³): 3.6
VASP energy (eV per cell): -48.429

a = 6.577 Å, b = 8.868 Å, c = 15.853 Å
α = 90.00°, β = 90.00°, γ = 90.00°
Atoms (fractional coordinates):
Li1 0.387 0.960 0.086
Sr1 0.880 0.106 0.396
Sr2 0.359 0.248 0.750
Li2 0.613 0.040 0.586
Cd1 0.658 0.750 0.000
Sr3 0.359 0.252 0.250
Li3 0.387 0.540 0.586
Sr4 0.641 0.748 0.750
Sr5 0.120 0.606 0.396
Sr6 0.641 0.752 0.250
Cd2 0.843 0.397 0.250
Li4 0.613 0.040 0.914
Li5 0.387 0.960 0.414
Cd3 0.843 0.103 0.750
Li6 0.387 0.540 0.914
Sr7 0.880 0.394 0.604
Li7 0.613 0.460 0.086
Li8 0.613 0.460 0.414
Sr8 0.880 0.106 0.104
Cd4 0.342 0.250 0.000
Sr9 0.120 0.894 0.896
Sr10 0.120 0.606 0.104
Sr11 0.880 0.394 0.896
Cd5 0.658 0.750 0.500
Cd6 0.342 0.250 0.500
Cd7 0.157 0.897 0.250
Cd8 0.157 0.603 0.750
Sr12 0.120 0.894 0.604


- Among the records above, which one has the lowest calculated density?
  Sr3Li2Cd2


What did the fourth record say?
Density functional theory data (PBE) for an optimized crystal structure of Sr3Li2Cd2.

Properties
Calculated density (g/cm³): 3.6
VASP energy (eV per cell): -48.429

a = 6.577 Å, b = 8.868 Å, c = 15.853 Å
α = 90.00°, β = 90.00°, γ = 90.00°
Atoms (fractional coordinates):
Li1 0.387 0.960 0.086
Sr1 0.880 0.106 0.396
Sr2 0.359 0.248 0.750
Li2 0.613 0.040 0.586
Cd1 0.658 0.750 0.000
Sr3 0.359 0.252 0.250
Li3 0.387 0.540 0.586
Sr4 0.641 0.748 0.750
Sr5 0.120 0.606 0.396
Sr6 0.641 0.752 0.250
Cd2 0.843 0.397 0.250
Li4 0.613 0.040 0.914
Li5 0.387 0.960 0.414
Cd3 0.843 0.103 0.750
Li6 0.387 0.540 0.914
Sr7 0.880 0.394 0.604
Li7 0.613 0.460 0.086
Li8 0.613 0.460 0.414
Sr8 0.880 0.106 0.104
Cd4 0.342 0.250 0.000
Sr9 0.120 0.894 0.896
Sr10 0.120 0.606 0.104
Sr11 0.880 0.394 0.896
Cd5 0.658 0.750 0.500
Cd6 0.342 0.250 0.500
Cd7 0.157 0.897 0.250
Cd8 0.157 0.603 0.750
Sr12 0.120 0.894 0.604


- calculated density of number 1 (SrLi3Cd3)?
  3.8 g/cm³


- What is the VASP energy in the second record?
  -10.498 eV per cell